(1)
Zr2Al: relaxed, PBEsol.

a b c (Å): 4.854 4.854 5.852
angles (deg): 90.00 90.00 120.00
Atoms (fractional coordinates):
Al (0.333, 0.667, 0.750)
Al (0.667, 0.333, 0.250)
Zr (0.000, 0.000, 0.000)
Zr (0.000, 0.000, 0.500)
Zr (0.333, 0.667, 0.250)
Zr (0.667, 0.333, 0.750)

Calculated values
* calculated volume: 19.9 A^3/atom
* symmetry: P6_3/mmc, No. 194
* ΔE_f: -0.3606 eV/atom
* density of states at the Fermi level: 0.87 states/eV per atom
* mass density: 5.8 Mg/m³



(2)
Zr4Al3: relaxed, PBEsol.

a b c (Å): 5.335 5.390 5.390
angles (deg): 120.00 90.00 90.00
Atoms (fractional coordinates):
Al (0.000, 0.000, 0.500)
Al (0.000, 0.500, 0.500)
Al (0.000, 0.500, 0.000)
Zr (0.260, 0.000, 0.000)
Zr (0.740, 0.000, 0.000)
Zr (0.500, 0.333, 0.667)
Zr (0.500, 0.667, 0.333)

Calculated values
* calculated volume: 19.2 A^3/atom
* symmetry: P6/mmm, No. 191
* ΔE_f: -0.4662 eV/atom
* density of states at the Fermi level: 0.61 states/eV per atom
* mass density: 5.5 Mg/m³



(3)
Zr2Al: relaxed, PBEsol.

a b c (Å): 3.213 3.981 5.329
angles (deg): 111.93 107.54 90.00
Atoms (fractional coordinates):
Al (0.000, 0.000, 0.000)
Zr (0.340, 0.340, 0.680)
Zr (0.660, 0.660, 0.320)

Calculated values
* calculated volume: 19.9 A^3/atom
* symmetry: Immm, No. 71
* ΔE_f: -0.3105 eV/atom
* density of states at the Fermi level: 0.83 states/eV per atom
* mass density: 5.8 Mg/m³



Q: Number 3 is which compound?
A: Zr2Al



Q: Which value of ΔE_f does entry 2 give?
A: -0.4662 eV/atom



Q: Which formula does entry 3 have?
A: Zr2Al



Q: Which value of density of states at the Fermi level does entry 1 give?
A: 0.87 states/eV per atom